1.
The following is a PBE-GGA calculation of SrCu4Te3O12 after structural relaxation, from Alexandria via LeMat-Bulk.

a = 11.1575 Å, b = 11.1575 Å, c = 7.7311 Å
α = 90.00°, β = 90.00°, γ = 120.00°
Last column: nearest neighbours and their distance in Å.
Space group R32 (No. 155, hexagonal axes)
Symmetry-distinct sites (fractional):
Sr 0.0000 0.0000 0.0000 x3  6 O 2.66
Cu 0.0000 0.0000 0.5000 x3  3 O 1.93
Cu 0.0000 0.3811 0.5000 x9  2 O 1.85
Te 0.0000 0.5708 0.0000 x9  6 O 1.95-2.06
O 0.0000 0.5974 0.5000 x9  2 Te 2.06
O 0.0000 0.8269 0.5000 x9  1 Cu 1.93, 2 Te 2.02
O 0.0672 0.2137 0.2087 x18  1 Cu 1.85, 1 Te 1.95

Results
volume = 833.5 Å³ per cell
uncorrected energy = -5.340 eV per atom
DOS at the Fermi energy = 13.5 states/eV per cell
energy relative to the elements, uncorrected = -991 meV per atom


2.
The following is a PBE-GGA calculation of SrCuTe2O7 after structural relaxation, from Alexandria via LeMat-Bulk.

a = 7.2338 Å, b = 15.5086 Å, c = 5.5055 Å
α = 90.00°, β = 90.00°, γ = 90.00°
Last column: nearest neighbours and their distance in Å.
Space group Pbcm (No. 57)
Symmetry-distinct sites (fractional):
Sr 0.2248 0.0411 0.2500 x4  8 O 2.65-2.96
Cu 0.2659 0.6106 0.2500 x4  4 O 1.95-1.96
Te 0.0117 0.6706 0.7500 x4  6 O 1.93-2.02
Te 0.4831 0.1741 0.7500 x4  3 O 1.90-2.09
O 0.0799 0.5887 0.0002 x8  1 Te 1.94, 1 Cu 1.95
O 0.1009 0.2500 0.0000 x4  2 Te 2.02
O 0.2285 0.1110 0.7500 x4  2 Te 1.97-2.09
O 0.2475 0.7289 0.7500 x4  2 Te 1.93-2.13
O 0.4647 0.5976 0.0097 x8  1 Te 1.90, 1 Cu 1.96

Results
volume = 617.6 Å³ per cell
uncorrected energy = -5.608 eV per atom
DOS at the Fermi energy = 3.2 states/eV per cell
energy relative to the elements, uncorrected = -1356 meV per atom


3.
The following is a PBE-GGA calculation of Sr2Cu2TeO6 after structural relaxation, from Alexandria via LeMat-Bulk.

a = 10.1167 Å, b = 5.8426 Å, c = 6.1889 Å
α = 90.00°, β = 121.11°, γ = 90.00°
Last column: nearest neighbours and their distance in Å.
Space group C2/m (No. 12)
Symmetry-distinct sites (fractional):
Sr 0.2240 0.0000 0.1813 x4  5 O 2.50-2.58
Cu 0.0626 0.5000 0.2362 x4  3 O 1.93-1.98
Te 0.0000 0.0000 0.5000 x2  6 O 1.96-2.00
O 0.0607 0.2324 0.7738 x8  1 Cu 1.98, 1 Te 2.00
O 0.2140 0.0000 0.5764 x4  1 Cu 1.93, 1 Te 1.96

Results
volume = 313.2 Å³ per cell
uncorrected energy = -5.603 eV per atom
DOS at the Fermi energy = 3.6 states/eV per cell
energy relative to the elements, uncorrected = -1562 meV per atom


For reference, calculated density by record: 5.5; 5.6; 5.6 Mg/m³.